Entry from the Alexandria database: a relaxed structure of VSe6Br12 (PBE).

a b c (Å): 10.2126 10.2126 10.2126
angles (deg): 113.26 113.26 113.26
Last column: nearest neighbours and their distance in Å.
Fractional coordinates of all 19 atoms:
V (0.0000, 0.0000, 0.0000)  6 Se 2.62
Se (0.1218, 0.2334, 0.3365)  2 Br 2.44-2.47, 1 V 2.62
Se (0.2334, 0.3365, 0.1218)  2 Br 2.44-2.47, 1 V 2.62
Se (0.3365, 0.1218, 0.2334)  2 Br 2.44-2.47, 1 V 2.62
Se (0.6635, 0.8782, 0.7666)  2 Br 2.44-2.47, 1 V 2.62
Se (0.7666, 0.6635, 0.8782)  2 Br 2.44-2.47, 1 V 2.62
Se (0.8782, 0.7666, 0.6635)  2 Br 2.44-2.47, 1 V 2.62
Br (0.1004, 0.7986, 0.6101)  1 Se 2.47
Br (0.1063, 0.4643, 0.2298)  1 Se 2.44
Br (0.2014, 0.3899, 0.8996)  1 Se 2.47
Br (0.2298, 0.1063, 0.4643)  1 Se 2.44
Br (0.3899, 0.8996, 0.2014)  1 Se 2.47
Br (0.4643, 0.2298, 0.1063)  1 Se 2.44
Br (0.5357, 0.7702, 0.8937)  1 Se 2.44
Br (0.6101, 0.1004, 0.7986)  1 Se 2.47
Br (0.7702, 0.8937, 0.5357)  1 Se 2.44
Br (0.7986, 0.6101, 0.1004)  1 Se 2.47
Br (0.8937, 0.5357, 0.7702)  1 Se 2.44
Br (0.8996, 0.2014, 0.3899)  1 Se 2.47

## Properties
- Space-group type: R-3
- Formation energy without anion corrections: -0.055 eV/atom
- Total DFT energy (no corrections): -2.692 eV/atom